{"formula": "TlTe2Rh", "functional": "PBE", "state": "relaxed", "volume_a3_per_cell": 108.51, "raw_formation_energy_mev_per_atom": -136, "space_group": "No. 44", "final_energy_ev_per_atom": -4.136, "dos_at_fermi_per_ev_fu": 2.04, "lattice": [[-6.517, 6.174, 3.604], [-8.522, 4.554, -0.473], [6.399, -7.235, -0.537]], "species": ["Te", "Te", "Rh", "Tl"], "fractional_positions": [[0.088, 0.088, 0.000], [0.767, 0.267, 0.500], [0.199, 0.699, 0.500], [0.445, 0.445, 0.000]]}

{"formula": "Tl2Te6Rh3", "functional": "PBE", "state": "relaxed", "volume_a3_per_cell": 321.22, "raw_formation_energy_mev_per_atom": -337, "space_group": "No. 12", "final_energy_ev_per_atom": -4.486, "dos_at_fermi_per_ev_fu": 3.49, "lattice": [[6.722, 0.000, 2.021], [3.361, 6.122, 1.011], [0.125, 0.000, 7.844]], "species": ["Tl", "Tl", "Rh", "Rh", "Rh", "Te", "Te", "Te", "Te", "Te", "Te"], "fractional_positions": [[0.164, 0.673, 0.500], [0.836, 0.327, 0.500], [0.000, 0.000, 0.000], [0.330, 0.339, 0.000], [0.670, 0.661, 0.000], [0.728, 0.000, 0.822], [0.272, 0.000, 0.178], [0.942, 0.666, 0.175], [0.392, 0.666, 0.825], [0.608, 0.334, 0.175], [0.058, 0.334, 0.825]]}

{"formula": "Tl2TeRh", "functional": "PBE", "state": "relaxed", "volume_a3_per_cell": 98.07, "raw_formation_energy_mev_per_atom": 422, "space_group": "No. 225", "final_energy_ev_per_atom": -3.384, "dos_at_fermi_per_ev_fu": 4.08, "lattice": [[-3.862, -3.071, 1.566], [-4.784, 0.713, -1.845], [-2.053, -3.448, -3.270]], "species": ["Tl", "Tl", "Te", "Rh"], "fractional_positions": [[0.250, 0.250, 0.250], [0.750, 0.750, 0.750], [0.500, 0.500, 0.500], [0.000, 0.000, 0.000]]}

{"formula": "TlTe2Rh", "functional": "PBE", "state": "relaxed", "volume_a3_per_cell": 130.47, "raw_formation_energy_mev_per_atom": -88, "space_group": "No. 25", "final_energy_ev_per_atom": -4.088, "dos_at_fermi_per_ev_fu": 1.62, "lattice": [[-3.493, 2.737, -1.989], [-1.059, -3.588, -3.078], [-3.657, -2.031, 3.629]], "species": ["Te", "Te", "Rh", "Tl"], "fractional_positions": [[0.500, 0.375, 0.163], [0.000, 0.875, 0.838], [0.500, 0.875, 0.999], [0.000, 0.375, 0.500]]}

{"formula": "TlTe2Rh", "functional": "PBE", "state": "relaxed", "volume_a3_per_cell": 96.93, "raw_formation_energy_mev_per_atom": 387, "space_group": "No. 119", "final_energy_ev_per_atom": -3.613, "dos_at_fermi_per_ev_fu": 4.15, "lattice": [[-2.275, 2.275, 4.683], [2.275, -2.275, 4.683], [2.275, 2.275, -4.683]], "species": ["Te", "Te", "Tl", "Rh"], "fractional_positions": [[0.250, 0.750, 0.500], [0.000, 0.000, 0.000], [0.500, 0.500, 0.000], [0.750, 0.250, 0.500]]}

{"formula": "TlTe2Rh", "functional": "PBE", "state": "relaxed", "volume_a3_per_cell": 96.37, "raw_formation_energy_mev_per_atom": 448, "space_group": "No. 216", "final_energy_ev_per_atom": -3.552, "dos_at_fermi_per_ev_fu": 3.89, "lattice": [[0.000, 3.639, 3.639], [3.639, 0.000, 3.639], [3.639, 3.639, 0.000]], "species": ["Tl", "Te", "Te", "Rh"], "fractional_positions": [[0.250, 0.250, 0.250], [0.000, 0.000, 0.000], [0.750, 0.750, 0.750], [0.500, 0.500, 0.500]]}

{"formula": "TlTe2Rh", "functional": "PBE", "state": "relaxed", "volume_a3_per_cell": 103.50, "raw_formation_energy_mev_per_atom": 202, "space_group": "No. 12", "final_energy_ev_per_atom": -3.798, "dos_at_fermi_per_ev_fu": 1.83, "lattice": [[4.139, 2.880, 0.896], [-4.139, 2.880, 0.896], [0.000, 1.627, 4.847]], "species": ["Te", "Te", "Rh", "Tl"], "fractional_positions": [[0.000, 0.500, 0.000], [0.500, 0.000, 0.000], [0.000, 0.000, 0.500], [0.500, 0.500, 0.500]]}

{"formula": "TlTe2Rh", "functional": "PBE", "state": "relaxed", "volume_a3_per_cell": 101.17, "raw_formation_energy_mev_per_atom": -49, "space_group": "No. 123", "final_energy_ev_per_atom": -4.049, "dos_at_fermi_per_ev_fu": 2.74, "lattice": [[0.858, 0.080, -3.232], [-3.221, -0.277, -0.857], [-0.781, 9.011, 0.017]], "species": ["Rh", "Te", "Te", "Tl"], "fractional_positions": [[0.500, 0.500, 0.000], [0.000, 0.000, 0.817], [0.000, 0.000, 0.183], [0.500, 0.500, 0.500]]}